1.
YSc2PaSb4 | PBE | optimized geometry

POSCAR file:
```
YSc2PaSb4
1.0
4.2814 0.0000 0.0000
0.0000 7.4195 0.1333
0.0000 -2.5825 6.8957
Sb Sc Pa Y
4 2 1 1
Direct
0.5000 0.7443 0.7339
0.0000 0.2441 0.7352
0.5000 0.2557 0.2661
0.0000 0.7559 0.2648
0.5000 0.0000 0.5000
0.0000 0.5000 0.5000
0.0000 0.0000 0.0000
0.5000 0.5000 0.0000
```

Results
Energy relative to the elements, uncorrected ... -6.9 eV per formula unit
Symmetry ... P2/m (10)
Crystal system ... monoclinic

=====

2.
Pa4Sb2Se5 | PBE | optimized geometry

POSCAR file:
```
Pa4Sb2Se5
1.0
4.0814 0.0000 0.0000
0.0000 6.3942 0.2531
-2.0407 -0.9495 12.5301
Se Sb Pa
5 2 4
Direct
0.1611 0.8141 0.3221
0.8389 0.1859 0.6779
0.2248 0.2871 0.4497
0.5000 0.0000 0.0000
0.7752 0.7129 0.5503
0.9230 0.6762 0.8459
0.0770 0.3238 0.1541
0.0511 0.7864 0.1022
0.6703 0.5019 0.3405
0.9489 0.2136 0.8978
0.3297 0.4981 0.6595
```

Results
Energy relative to the elements, uncorrected ... -9.3 eV per formula unit
Symmetry ... C2/m (12)
Crystal system ... monoclinic

=====

3.
PaSbSe2 | PBE | optimized geometry

POSCAR file:
```
PaSbSe2
1.0
-0.2548 -2.9891 2.1792
3.0690 -1.5457 1.3930
0.3139 4.0162 8.6998
Pa Se Sb
1 2 1
Direct
0.0000 0.0000 0.0000
0.9017 0.9017 0.2949
0.0983 0.0983 0.7051
0.5000 0.5000 0.5000
```

Results
Energy relative to the elements, uncorrected ... 0.1 eV per formula unit
Symmetry ... R-3m (166)
Crystal system ... trigonal

=====

4.
Pa3SbSe2 | PBE | optimized geometry

POSCAR file:
```
Pa3SbSe2
1.0
7.9783 0.0014 4.2047
3.1186 6.1669 3.7574
0.9942 0.4426 7.7904
Pa Sb Se
6 2 4
Direct
0.0000 0.7246 0.2754
0.0000 0.2754 0.7246
0.5000 0.7755 0.2245
0.5000 0.5000 0.0000
0.5000 0.0000 0.5000
0.5000 0.2245 0.7755
0.8007 0.7500 0.7500
0.1993 0.2500 0.2500
0.2570 0.9712 0.9712
0.7430 0.0288 0.0288
0.6993 0.5289 0.5289
0.3007 0.4711 0.4711
```

Results
Energy relative to the elements, uncorrected ... -3.4 eV per formula unit
Symmetry ... Imma (74)
Crystal system ... orthorhombic

=====

5.
Pa5SbSe5 | PBE | optimized geometry

POSCAR file:
```
Pa5SbSe5
1.0
5.8111 0.0000 0.0000
-2.9056 6.4702 -0.0363
0.0000 -2.4467 7.7392
Pa Se Sb
5 5 1
Direct
0.1753 0.3506 0.8254
0.8247 0.6494 0.1746
0.5000 0.0000 0.0000
0.1720 0.3440 0.3475
0.8280 0.6560 0.6525
0.6518 0.3036 0.3410
0.6621 0.3241 0.8226
0.3482 0.6964 0.6590
0.0000 0.0000 0.5000
0.3379 0.6759 0.1774
0.0000 0.0000 0.0000
```

Results
Energy relative to the elements, uncorrected ... -12.1 eV per formula unit
Symmetry ... C2/m (12)
Crystal system ... monoclinic

=====

6.
Pa2SbSe3 | PBE | optimized geometry

POSCAR file:
```
Pa2SbSe3
1.0
-2.3644 -3.6682 1.4420
6.6390 -2.6658 -3.2207
1.4686 3.2044 10.5596
Se Pa Sb
6 4 2
Direct
0.6271 0.2541 0.6888
0.3729 0.7459 0.3112
0.9777 0.9554 0.6830
0.0223 0.0446 0.3170
0.7044 0.4088 0.3547
0.2956 0.5912 0.6453
0.7896 0.5791 0.1825
0.5164 0.0328 0.1765
0.2104 0.4209 0.8175
0.4836 0.9672 0.8235
0.8730 0.7459 0.9586
0.1270 0.2541 0.0414
```

Results
Energy relative to the elements, uncorrected ... -5.5 eV per formula unit
Symmetry ... C2/m (12)
Crystal system ... monoclinic

=====

7.
PaSbSe3 | PBE | optimized geometry

POSCAR file:
```
PaSbSe3
1.0
7.3100 0.4284 -0.6489
4.1013 6.4088 1.5713
3.2675 3.9507 7.9959
Pa Se Sb
2 6 2
Direct
0.6511 0.7054 0.9725
0.3489 0.2946 0.0275
0.3548 0.2665 0.7532
0.6452 0.7335 0.2468
0.0258 0.1792 0.2407
0.9742 0.8208 0.7593
0.7151 0.3912 0.8729
0.2849 0.6088 0.1271
0.2702 0.1747 0.4695
0.7298 0.8253 0.5305
```

Results
Energy relative to the elements, uncorrected ... -4.0 eV per formula unit
Symmetry ... P-1 (2)
Crystal system ... triclinic

=====

8.
Pa4SbSe5 | PBE | optimized geometry

POSCAR file:
```
Pa4SbSe5
1.0
4.0824 0.0000 0.0000
0.0000 8.5398 -0.3917
-2.0412 -1.6211 8.7945
Pa Sb Se
4 1 5
Direct
0.3267 0.9131 0.6533
0.6733 0.0869 0.3467
0.9988 0.7365 0.9977
0.0012 0.2635 0.0023
0.5000 0.0000 0.0000
0.8357 0.6833 0.6713
0.8362 0.1661 0.6725
0.5000 0.5000 0.0000
0.1638 0.8339 0.3275
0.1643 0.3167 0.3287
```

Results
Energy relative to the elements, uncorrected ... -11.1 eV per formula unit
Symmetry ... C2/m (12)
Crystal system ... monoclinic

=====

9.
Pa6SbSe12 | PBE | optimized geometry

POSCAR file:
```
Pa6SbSe12
1.0
8.3140 -0.1657 -0.1985
-1.4242 8.1928 -0.1985
-1.4242 -1.6593 8.0255
Pa Se Sb
6 12 1
Direct
0.6886 0.8657 0.3731
0.8657 0.3731 0.6886
0.6269 0.3114 0.1343
0.3731 0.6886 0.8657
0.1343 0.6269 0.3114
0.3114 0.1343 0.6269
0.6733 0.9424 0.0511
0.5800 0.4364 0.8239
0.5636 0.1761 0.4200
0.0576 0.9489 0.3267
0.4364 0.8239 0.5800
0.8239 0.5800 0.4364
0.4200 0.5636 0.1761
0.9424 0.0511 0.6733
0.3267 0.0576 0.9489
0.1761 0.4200 0.5636
0.0511 0.6733 0.9424
0.9489 0.3267 0.0576
0.0000 0.0000 0.0000
```

Results
Energy relative to the elements, uncorrected ... -21.2 eV per formula unit
Symmetry ... R-3 (148)
Crystal system ... trigonal

=====

10.
Pa3Sb5Se12 | PBE | optimized geometry

POSCAR file:
```
Pa3Sb5Se12
1.0
-1.8064 7.0982 12.6973
8.4936 -11.7539 2.1384
6.3705 8.9276 -9.7253
Se Pa Sb
48 12 20
Direct
0.0573 0.6424 0.7243
0.6670 0.2243 0.5819
0.0819 0.9150 0.3576
0.2757 0.8576 0.9427
0.1670 0.0850 0.9427
0.2243 0.5573 0.6424
0.0573 0.4150 0.8330
0.4427 0.7757 0.8576
0.2243 0.6670 0.0819
0.5819 0.7243 0.6670
0.6424 0.5850 0.9181
0.8576 0.2757 0.4427
0.0850 0.1670 0.4427
0.5819 0.8576 0.4150
0.5573 0.2243 0.1424
0.8330 0.9150 0.0573
0.4150 0.0573 0.3330
0.6424 0.0573 0.2243
0.7757 0.4427 0.3576
0.1424 0.7243 0.5573
0.0819 0.1670 0.2243
0.4181 0.1424 0.5850
0.5850 0.6424 0.4181
0.9181 0.8330 0.7757
0.4181 0.2757 0.3330
0.4150 0.3576 0.5819
0.0850 0.9181 0.1424
0.7243 0.5819 0.1670
0.2757 0.4181 0.8330
0.7757 0.3330 0.9181
0.9427 0.5850 0.1670
0.1670 0.0819 0.7243
0.3330 0.5573 0.4150
0.3576 0.4150 0.0819
0.1424 0.4181 0.0850
0.3576 0.9427 0.7757
0.4427 0.6670 0.0850
0.6670 0.4427 0.5850
0.5850 0.9427 0.6670
0.9150 0.0819 0.8576
0.8576 0.5819 0.9150
0.9181 0.0850 0.6424
0.8330 0.9181 0.2757
0.9150 0.8330 0.5573
0.9427 0.3576 0.2757
0.5573 0.3330 0.9150
0.7243 0.1424 0.0573
0.3330 0.7757 0.4181
0.2500 0.1250 0.3750
0.3750 0.6250 0.2500
0.7500 0.3750 0.1250
0.1250 0.2500 0.8750
0.1250 0.8750 0.7500
0.3750 0.7500 0.6250
0.8750 0.7500 0.1250
0.8750 0.1250 0.2500
0.7500 0.8750 0.6250
0.2500 0.6250 0.8750
0.6250 0.2500 0.3750
0.6250 0.3750 0.7500
0.5000 0.0000 0.0000
0.5000 0.0000 0.5000
0.7500 0.1250 0.8750
0.0000 0.5000 0.5000
0.5000 0.5000 0.5000
0.3750 0.2500 0.1250
0.1250 0.3750 0.2500
0.8750 0.6250 0.7500
0.1250 0.7500 0.3750
0.6250 0.8750 0.2500
0.2500 0.3750 0.6250
0.5000 0.5000 0.0000
0.0000 0.5000 0.0000
0.2500 0.8750 0.1250
0.6250 0.7500 0.8750
0.7500 0.6250 0.3750
0.0000 0.0000 0.0000
0.8750 0.2500 0.6250
0.3750 0.1250 0.7500
0.0000 0.0000 0.5000
```

Results
Energy relative to the elements, uncorrected ... -9.0 eV per formula unit
Symmetry ... Ia-3d (230)
Crystal system ... cubic

=====

11.
PaSbTe2Se | PBE | optimized geometry

POSCAR file:
```
PaSbTe2Se
1.0
-1.1891 -3.1587 -2.9399
-0.5077 -2.9259 3.3490
-14.0551 4.0119 1.3743
Pa Se Te Sb
2 2 4 2
Direct
0.0000 0.5000 0.3719
0.5000 0.0000 0.6281
0.0000 0.0000 0.5000
0.5000 0.5000 0.5000
0.5000 0.0000 0.8814
0.5000 0.0000 0.3001
0.0000 0.5000 0.6999
0.0000 0.5000 0.1186
0.0000 0.5000 0.8988
0.5000 0.0000 0.1012
```

Results
Energy relative to the elements, uncorrected ... -2.8 eV per formula unit
Symmetry ... P4/nmm (129)
Crystal system ... tetragonal

=====

12.
PaTl3Sb3Se8 | PBE | optimized geometry

POSCAR file:
```
PaTl3Sb3Se8
1.0
8.3863 0.0000 0.0000
-4.1931 7.2590 -0.0294
0.0000 -4.8070 7.7820
Se Tl Sb Pa
8 3 3 1
Direct
0.7368 0.4735 0.7101
0.2306 0.9726 0.7032
0.2307 0.4614 0.7033
0.2579 0.0274 0.2968
0.7693 0.5386 0.2967
0.7694 0.0274 0.2968
0.2632 0.5265 0.2899
0.7421 0.9726 0.7032
0.0000 0.5000 0.0000
0.5000 0.5000 0.0000
0.0000 0.0000 0.0000
0.0000 0.5000 0.5000
0.5000 0.5000 0.5000
0.5000 0.0000 0.5000
0.0000 0.0000 0.5000
```

Results
Energy relative to the elements, uncorrected ... -8.5 eV per formula unit
Symmetry ... R-3m (166)
Crystal system ... trigonal

=====

13.
ZrPaSbSe | PBE | optimized geometry

POSCAR file:
```
ZrPaSbSe
1.0
5.0355 0.0000 0.0000
2.5178 4.3609 0.0000
2.5178 1.4536 4.1115
Sb Zr Pa Se
1 1 1 1
Direct
0.5000 0.5000 0.5000
0.2500 0.2500 0.2500
0.7500 0.7500 0.7500
0.0000 0.0000 0.0000
```

Results
Energy relative to the elements, uncorrected ... -3.1 eV per formula unit
Symmetry ... F-43m (216)
Crystal system ... cubic

=====

14.
PaSiSb2 | PBE | optimized geometry

POSCAR file:
```
PaSiSb2
1.0
-2.5283 -0.2899 2.4239
0.7166 -1.4450 3.1225
1.7735 8.2372 5.3828
Sb Pa Si
2 1 1
Direct
0.1056 0.1056 0.6831
0.8944 0.8944 0.3169
0.0000 0.0000 0.0000
0.5000 0.5000 0.5000
```

Results
Energy relative to the elements, uncorrected ... 1.8 eV per formula unit
Symmetry ... R-3m (166)
Energy above the lowest structure with this stoichiometry ... 682.9 meV per atom
Crystal system ... trigonal

=====

15.
PaSi2Sb | PBE | optimized geometry

POSCAR file:
```
PaSi2Sb
1.0
4.1207 0.0000 0.0000
0.0000 4.4030 0.0000
0.0000 0.0000 4.4030
Pa Si Sb
1 2 1
Direct
0.5000 0.0000 0.0000
0.0000 0.5000 0.0000
0.0000 0.0000 0.5000
0.5000 0.5000 0.5000
```

Results
Energy relative to the elements, uncorrected ... -1.2 eV per formula unit
Symmetry ... P4/mmm (123)
Crystal system ... tetragonal

=====

16.
Pa2SiSb | PBE | optimized geometry

POSCAR file:
```
Pa2SiSb
1.0
-3.0276 0.6744 -1.7663
-1.7448 -2.2811 2.1197
-1.4919 5.4517 4.6387
Pa Sb Si
2 1 1
Direct
0.0000 0.0000 0.7712
0.0000 0.0000 0.2288
0.5000 0.5000 0.5000
0.5000 0.5000 0.0000
```

Results
Energy relative to the elements, uncorrected ... -1.4 eV per formula unit
Symmetry ... P4/mmm (123)
Energy above the lowest structure with this stoichiometry ... 102.0 meV per atom
Crystal system ... tetragonal

=====

17.
PaSiSb2 | PBE | optimized geometry

POSCAR file:
```
PaSiSb2
1.0
-3.0429 2.8685 1.9497
-3.2187 -3.0236 -0.5750
0.9202 -1.7393 3.9952
Si Sb Pa
1 2 1
Direct
0.5000 0.5000 0.5000
0.0000 0.5000 0.0000
0.0000 0.0000 0.5000
0.5000 0.0000 0.0000
```

Results
Energy relative to the elements, uncorrected ... -0.9 eV per formula unit
Symmetry ... P4/mmm (123)
Energy above the lowest structure with this stoichiometry ... 0.0 meV per atom
Crystal system ... tetragonal

=====

18.
Pa2SiSb | PBE | optimized geometry

POSCAR file:
```
Pa2SiSb
1.0
-2.4528 0.5857 -3.3230
0.4021 -2.4558 -3.3481
-5.4043 -5.0769 0.4759
Si Pa Sb
1 2 1
Direct
0.0000 0.0000 0.0000
0.7398 0.7398 0.7807
0.2602 0.2602 0.2193
0.5000 0.5000 0.5000
```

Results
Energy relative to the elements, uncorrected ... -1.8 eV per formula unit
Symmetry ... R-3m (166)
Energy above the lowest structure with this stoichiometry ... 0.0 meV per atom
Crystal system ... trigonal

=====

19.
Pa4SiSbTe2 | PBE | optimized geometry

POSCAR file:
```
Pa4SiSbTe2
1.0
-0.5318 -2.0669 -3.6549
6.8759 -2.9371 0.6604
-4.8617 -4.5325 3.2706
Pa Te Si Sb
4 2 1 1
Direct
0.0000 0.2794 0.7795
0.5000 0.2658 0.2345
0.0000 0.7206 0.2205
0.5000 0.7342 0.7655
0.0000 0.5000 0.5000
0.5000 0.0000 0.5000
0.5000 0.5000 0.0000
0.0000 0.0000 0.0000
```

Results
Energy relative to the elements, uncorrected ... -4.3 eV per formula unit
Symmetry ... P2/m (10)
Crystal system ... monoclinic

=====

20.
SmPaSb2 | PBE | optimized geometry

POSCAR file:
```
SmPaSb2
1.0
4.3326 0.0000 0.0000
2.1663 3.7521 0.0000
2.1663 1.2507 7.5997
Sb Pa Sm
2 1 1
Direct
0.0808 0.0808 0.7577
0.2533 0.2533 0.2400
0.6698 0.6698 0.9906
0.4961 0.4961 0.5117
```

Results
Energy relative to the elements, uncorrected ... -2.8 eV per formula unit
Symmetry ... R3m (160)
Energy above the lowest structure with this stoichiometry ... 97.4 meV per atom
Crystal system ... trigonal

=====

21.
SmPaSb2 | PBE | optimized geometry

POSCAR file:
```
SmPaSb2
1.0
5.3559 0.0000 0.0000
2.6779 4.6383 0.0000
2.6779 1.5461 4.3750
Sm Pa Sb
1 1 2
Direct
0.5000 0.5000 0.5000
0.0000 0.0000 0.0000
0.7500 0.7500 0.7500
0.2500 0.2500 0.2500
```

Results
Energy relative to the elements, uncorrected ... -2.5 eV per formula unit
Symmetry ... Fm-3m (225)
Energy above the lowest structure with this stoichiometry ... 170.8 meV per atom
Crystal system ... cubic